No. 1
Computed, not measured: a relaxed structure of CsHoSO at the PBE level of DFT.

Calculated values
The electronic total energy is -5.767 eV per atom. The energy above the most stable polymorph in this dataset is 95 meV per atom.

Cell lengths 3.7508, 3.7508, 14.9709 Å; angles 90.00, 90.00, 120.00 degrees
Fractional positions:
Cs  0.0000  0.0000  0.0000
Cs  0.3333  0.6667  0.5000
Ho  0.6667  0.3333  0.2215
Ho  0.6667  0.3333  0.7785
S  0.0000  0.0000  0.3284
S  0.0000  0.0000  0.6716
O  0.3333  0.6667  0.1522
O  0.3333  0.6667  0.8478


No. 2
Computed, not measured: a relaxed structure of CsHoSeO at the PBE level of DFT.

Calculated values
The electronic total energy is -5.310 eV per atom. The energy above the most stable polymorph in this dataset is 350 meV per atom.

Cell lengths 4.6680, 4.6680, 11.0695 Å; angles 90.00, 90.00, 90.00 degrees
Fractional positions:
Cs  0.2500  0.7500  0.0000
Cs  0.7500  0.2500  0.0000
Ho  0.2500  0.2500  0.4508
Ho  0.7500  0.7500  0.5492
Se  0.2500  0.2500  0.2159
Se  0.7500  0.7500  0.7841
O  0.2500  0.7500  0.5000
O  0.7500  0.2500  0.5000


No. 3
Computed, not measured: a relaxed structure of CsHoSeO at the PBE level of DFT.

Calculated values
The electronic total energy is -5.660 eV per atom. The energy above the most stable polymorph in this dataset is 0 meV per atom.

Cell lengths 8.4832, 7.4246, 6.7260 Å; angles 90.00, 101.06, 90.00 degrees
Fractional positions:
Cs  0.0913  0.2133  0.4746
Cs  0.0913  0.2867  0.9746
Cs  0.9087  0.7133  0.0254
Cs  0.9087  0.7867  0.5254
Ho  0.4811  0.6292  0.7832
Ho  0.4811  0.8708  0.2832
Ho  0.5189  0.1292  0.7168
Ho  0.5189  0.3708  0.2168
Se  0.2665  0.5967  0.3729
Se  0.2665  0.9033  0.8729
Se  0.7335  0.0967  0.1271
Se  0.7335  0.4033  0.6271
O  0.4168  0.1463  0.3845
O  0.4168  0.3537  0.8845
O  0.5832  0.6463  0.1155
O  0.5832  0.8537  0.6155


No. 4
Computed, not measured: a relaxed structure of CsHoSeO at the PBE level of DFT.

Calculated values
The electronic total energy is -5.618 eV per atom. The energy above the most stable polymorph in this dataset is 43 meV per atom.

Cell lengths 4.5312, 8.7747, 6.9497 Å; angles 90.00, 90.00, 90.00 degrees
Fractional positions:
Cs  0.0000  0.1954  0.0000
Cs  0.0000  0.8046  0.5000
Ho  0.5000  0.3885  0.4361
Ho  0.5000  0.6115  0.9361
Se  0.0000  0.2148  0.5038
Se  0.0000  0.7852  0.0038
O  0.5000  0.4335  0.1376
O  0.5000  0.5665  0.6376


No. 5
Computed, not measured: a relaxed structure of CsHoTeO at the PBE level of DFT.

Calculated values
The electronic total energy is -5.137 eV per atom. The energy above the most stable polymorph in this dataset is 385 meV per atom.

Cell lengths 3.8974, 3.8974, 16.2026 Å; angles 90.00, 90.00, 120.00 degrees
Fractional positions:
Cs  0.0000  0.0000  0.0000
Cs  0.3333  0.6667  0.5000
Ho  0.6667  0.3333  0.2001
Ho  0.6667  0.3333  0.7999
Te  0.0000  0.0000  0.3225
Te  0.0000  0.0000  0.6775
O  0.3333  0.6667  0.1407
O  0.3333  0.6667  0.8593


No. 6
Computed, not measured: a relaxed structure of Cs2Ho2TeO3 at the PBE level of DFT.

Calculated values
The electronic total energy is -5.758 eV per atom.

Cell lengths 3.6624, 3.6624, 15.1332 Å; angles 90.00, 90.00, 120.00 degrees
Fractional positions:
Cs  0.0000  0.0000  0.0000
Cs  0.3333  0.6667  0.5614
Ho  0.6667  0.3333  0.2262
Ho  0.6667  0.3333  0.7818
Te  0.0000  0.0000  0.3671
O  0.0000  0.0000  0.7117
O  0.3333  0.6667  0.1658
O  0.3333  0.6667  0.8544


No. 7
Computed, not measured: a relaxed structure of CsHoTeO at the PBE level of DFT.

Calculated values
The electronic total energy is -5.352 eV per atom. The energy above the most stable polymorph in this dataset is 171 meV per atom.

Cell lengths 4.8015, 9.0809, 7.1909 Å; angles 90.00, 90.00, 90.00 degrees
Fractional positions:
Cs  0.0000  0.2088  0.0000
Cs  0.0000  0.7912  0.5000
Ho  0.5000  0.3989  0.4238
Ho  0.5000  0.6011  0.9238
Te  0.0000  0.2132  0.5015
Te  0.0000  0.7868  0.0015
O  0.5000  0.4406  0.1335
O  0.5000  0.5594  0.6335


No. 8
Computed, not measured: a relaxed structure of CsHoTeO at the PBE level of DFT.

Calculated values
The electronic total energy is -5.055 eV per atom. The energy above the most stable polymorph in this dataset is 468 meV per atom.

Cell lengths 4.4632, 4.4632, 10.7862 Å; angles 90.00, 90.00, 90.00 degrees
Fractional positions:
Cs  0.2500  0.7500  0.0000
Cs  0.7500  0.2500  0.0000
Ho  0.2500  0.2500  0.4309
Ho  0.7500  0.7500  0.5691
Te  0.2500  0.2500  0.7434
Te  0.7500  0.7500  0.2566
O  0.2500  0.7500  0.5000
O  0.7500  0.2500  0.5000


No. 9
Computed, not measured: a relaxed structure of CsHoTeO at the PBE level of DFT.

Calculated values
The electronic total energy is -5.149 eV per atom. The energy above the most stable polymorph in this dataset is 374 meV per atom.

Cell lengths 3.9067, 3.9067, 16.2131 Å; angles 90.00, 90.00, 120.00 degrees
Fractional positions:
Cs  0.3333  0.6667  0.0000
Cs  0.6667  0.3333  0.5000
Ho  0.0000  0.0000  0.2066
Ho  0.0000  0.0000  0.7066
Te  0.3333  0.6667  0.3302
Te  0.6667  0.3333  0.8302
O  0.3333  0.6667  0.6525
O  0.6667  0.3333  0.1525


No. 10
Computed, not measured: a relaxed structure of CsHoTeO at the PBE level of DFT.

Calculated values
The electronic total energy is -5.522 eV per atom. The energy above the most stable polymorph in this dataset is 0 meV per atom.

Cell lengths 9.8893, 7.4186, 6.7233 Å; angles 90.00, 100.68, 90.00 degrees
Fractional positions:
Cs  0.1333  0.0779  0.3212
Cs  0.1333  0.4221  0.8212
Cs  0.8667  0.5779  0.1788
Cs  0.8667  0.9221  0.6788
Ho  0.4943  0.6366  0.7939
Ho  0.4943  0.8634  0.2939
Ho  0.5057  0.1366  0.7061
Ho  0.5057  0.3634  0.2061
Te  0.2694  0.5774  0.3678
Te  0.2694  0.9226  0.8678
Te  0.7306  0.0774  0.1322
Te  0.7306  0.4226  0.6322
O  0.4346  0.1399  0.3811
O  0.4346  0.3601  0.8811
O  0.5654  0.6399  0.1189
O  0.5654  0.8601  0.6189


No. 11
Computed, not measured: a relaxed structure of Cs2HoTmO4 at the PBE level of DFT.

Calculated values
The electronic total energy is -6.471 eV per atom.

Cell lengths 3.4958, 3.4958, 13.5518 Å; angles 90.00, 90.00, 120.00 degrees
Fractional positions:
Cs  0.3333  0.6667  0.2502
Cs  0.6667  0.3333  0.7498
Ho  0.0000  0.0000  0.0000
Tm  0.0000  0.0000  0.5000
O  0.3333  0.6667  0.5814
O  0.3333  0.6667  0.9166
O  0.6667  0.3333  0.0834
O  0.6667  0.3333  0.4186


No. 12
Computed, not measured: a relaxed structure of Cs2YHoO4 at the PBE level of DFT.

Calculated values
The electronic total energy is -6.692 eV per atom.

Cell lengths 3.5232, 3.5232, 13.5564 Å; angles 90.00, 90.00, 120.00 degrees
Fractional positions:
Cs  0.3333  0.6667  0.2500
Cs  0.6667  0.3333  0.7500
Y  0.0000  0.0000  0.5000
Ho  0.0000  0.0000  0.0000
O  0.3333  0.6667  0.5832
O  0.3333  0.6667  0.9172
O  0.6667  0.3333  0.0828
O  0.6667  0.3333  0.4168